Record 1
LaTcAg (PBEsol, relaxed); calculated formation energy = 1.971 eV/f.u.; polymorph energy (0 for the lowest one) = 204.3 meV per atom; DOS(E_F) = 3.63 states/eV/f.u.; total magnetization = 0.000 μB/atom
1.0
-2.280 1.365 -1.189
-0.419 -1.982 2.091
0.532 5.646 5.460
Ag La Tc
1 1 1
Direct
0.000 0.000 0.026 Ag
0.333 0.667 0.657 La
0.667 0.333 0.317 Tc


Record 2
LiAc2Ir (PBEsol, relaxed); calculated formation energy = -0.937 eV/f.u.; DOS(E_F) = 2.49 states/eV/f.u.; total magnetization = 0.000 μB/atom
1.0
-1.540 -3.298 -3.833
3.485 -3.312 -2.196
-0.324 -5.189 0.951
Ac Ir Li
2 1 1
Direct
0.750 0.750 0.750 Ac
0.250 0.250 0.250 Ac
0.500 0.500 0.500 Ir
0.000 0.000 0.000 Li


Record 3
CaZrTeN2 (PBEsol, relaxed); polymorph energy (0 for the lowest one) = 1419.0 meV per atom; DOS(E_F) = 3.36 states/eV/f.u.; E_form (uncorrected) = 497.3 kJ/mol of formula units; total magnetization = 0.431 μB/atom
1.0
4.289 0.000 0.000
0.000 4.289 0.000
0.000 0.000 5.617
Ca Te Zr N
1 1 1 2
Direct
0.000 0.000 0.000 Ca
0.000 0.000 0.500 Te
0.500 0.500 0.500 Zr
0.000 0.500 0.000 N
0.500 0.000 0.000 N


Q: Among the records above, which one has the lowest DOS(E_F)?
A: LiAc2Ir


Q: Which formula does entry 1 have?
A: LaTcAg